1.
DFT (PBE) results for a relaxed Zr2BeOs crystal.

Computed properties:
VASP energy (eV for the cell shown): -32.72
SG: P4mm, No. 99
Total magnetization (μB per cell): 0.0

The structure in POSCAR format:
```
Zr2BeOs
1.0
3.2003 0.0000 0.0000
0.0000 3.2003 0.0000
0.0000 0.0000 6.6602
Zr Os Be
2 1 1
direct
0.5000 0.5000 0.2915 Zr
0.0000 0.0000 0.9645 Zr
0.5000 0.5000 0.6886 Os
0.0000 0.0000 0.5554 Be
```



2.
DFT (PBE) results for a relaxed MgTaBi2 crystal.

Computed properties:
VASP energy (eV for the cell shown): -37.15
SG: I-42d, No. 122
Total magnetization (μB per cell): 2.0

The structure in POSCAR format:
```
MgTaBi2
1.0
6.6892 0.0000 0.0000
0.0000 6.6892 0.0000
3.3446 3.3446 6.4999
Mg Ta Bi
2 2 4
direct
0.5000 0.5000 0.0000 Mg
0.2500 0.7500 0.5000 Mg
0.7500 0.2500 0.5000 Ta
0.0000 0.0000 0.0000 Ta
0.3750 0.3536 0.7500 Bi
0.6464 0.1250 0.2500 Bi
0.1036 0.6250 0.2500 Bi
0.8750 0.8964 0.7500 Bi
```



3.
DFT (PBE) results for a relaxed BSbBr3 crystal.

Computed properties:
Energy above the lowest structure with this stoichiometry (kcal/mol of atoms): 3.27
VASP energy (eV for the cell shown): -12.08
Raw formation energy (eV/atom): 0.7479
SG: Pm-3m, No. 221
Total magnetization (μB per cell): 0.6

The structure in POSCAR format:
```
BSbBr3
1.0
5.6450 0.0000 0.0000
0.0000 5.6450 0.0000
0.0000 0.0000 5.6450
B Sb Br
1 1 3
direct
0.5000 0.5000 0.5000 B
0.0000 0.0000 0.0000 Sb
0.0000 0.0000 0.5000 Br
0.5000 0.0000 0.0000 Br
0.0000 0.5000 0.0000 Br
```



4.
DFT (PBE) results for a relaxed TlIn2B crystal.

Computed properties:
Energy above the lowest structure with this stoichiometry (kcal/mol of atoms): 9.14
VASP energy (eV for the cell shown): -10.71
SG: Fm-3m, No. 225
Total magnetization (μB per cell): 0.0

The structure in POSCAR format:
```
TlIn2B
1.0
-2.2888 -4.4765 0.7728
-0.0061 -2.0861 4.6393
-4.3154 -0.2203 2.6840
B In Tl
1 2 1
direct
0.0000 0.0000 0.0000 B
0.7500 0.7500 0.7500 In
0.2500 0.2500 0.2500 In
0.5000 0.5000 0.5000 Tl
```



5.
DFT (PBE) results for a relaxed CaTmPt crystal.

Computed properties:
Energy above the lowest structure with this stoichiometry (kcal/mol of atoms): 0.00
VASP energy (eV for the cell shown): -14.89
SG: F-43m, No. 216
Total magnetization (μB per cell): 0.0

The structure in POSCAR format:
```
CaTmPt
1.0
4.8492 0.0000 0.0000
2.4246 4.1995 0.0000
2.4246 1.3998 3.9593
Pt Ca Tm
1 1 1
direct
0.2500 0.2500 0.2500 Pt
0.0000 0.0000 0.0000 Ca
0.5000 0.5000 0.5000 Tm
```



6.
DFT (PBE) results for a relaxed PmAl2BRu2 crystal.

Computed properties:
VASP energy (eV for the cell shown): -41.31
SG: P4/mmm, No. 123
Total magnetization (μB per cell): 0.0

The structure in POSCAR format:
```
PmAl2BRu2
1.0
-3.7594 -1.4392 1.2398
0.3213 -3.1912 -2.7303
2.4719 -3.0926 3.9056
Al B Ru Pm
2 1 2 1
direct
0.5000 0.5000 0.2584 Al
0.5000 0.5000 0.7416 Al
0.0000 0.0000 0.0000 B
0.5000 0.0000 0.0000 Ru
0.0000 0.5000 0.0000 Ru
0.0000 0.0000 0.5000 Pm
```